Material: Y5Ir4Rh
Method: DFT, PBE
State: optimized geometry

Output
symmetry = P4/mmm
total moment = 0.000 μB per atom
uncorrected energy = -8.298 eV per atom
energy of formation = -0.7867 eV/atom

a b c (Å): 3.3695 3.3695 17.8619
angles (deg): 90.00 90.00 90.00
Last column: nearest neighbours and their distance in Å.
Fractional positions:
Y 0.0000 0.0000 0.0000  8 Ir 2.98
Y 0.0000 0.0000 0.2003  8 Ir 2.98-2.99
Y 0.0000 0.0000 0.3996  4 Ir 2.96, 4 Rh 2.98
Y 0.0000 0.0000 0.6004  4 Ir 2.96, 4 Rh 2.98
Y 0.0000 0.0000 0.7997  8 Ir 2.98-2.99
Ir 0.5000 0.5000 0.1002  8 Y 2.98
Ir 0.5000 0.5000 0.3011  8 Y 2.96-2.99
Ir 0.5000 0.5000 0.6989  8 Y 2.96-2.99
Ir 0.5000 0.5000 0.8998  8 Y 2.98
Rh 0.5000 0.5000 0.5000  8 Y 2.98

***

Material: ReTc
Method: DFT, PBE
State: optimized geometry

Output
symmetry = P6_3/mmc
total moment = 0.000 μB per atom
E above lowest polymorph = 850 meV/atom
uncorrected energy = -10.564 eV per atom
energy of formation = 0.8430 eV/atom

a b c (Å): 3.9713 3.9713 5.0954
angles (deg): 90.00 90.00 120.00
Last column: nearest neighbours and their distance in Å.
Fractional positions:
Re 0.0000 0.0000 0.0000  2 Re 2.55, 6 Tc 2.62
Re 0.0000 0.0000 0.5000  2 Re 2.55, 6 Tc 2.62
Tc 0.3333 0.6667 0.2500  6 Re 2.62
Tc 0.6667 0.3333 0.7500  6 Re 2.62

***

Material: CaMoRu2
Method: DFT, PBE
State: optimized geometry

Output
symmetry = Pm
total moment = 0.000 μB per atom
E above lowest polymorph = 336 meV/atom
uncorrected energy = -7.362 eV per atom
energy of formation = 0.4840 eV/atom

a b c (Å): 2.8232 4.5947 5.2711
angles (deg): 90.00 101.77 90.00
Last column: nearest neighbours and their distance in Å.
Fractional positions:
Ca 0.0000 0.0000 0.0000  4 Ru 2.68-2.78, 2 Ca 2.82, 2 Mo 2.96
Mo 0.7182 0.5000 0.2925  4 Ru 2.61-2.77, 2 Mo 2.82
Ru 0.2753 0.5000 0.7725  2 Mo 2.69-2.77, 2 Ca 2.77, 4 Ru 2.82-2.93
Ru 0.5704 0.0000 0.4964  2 Mo 2.61, 2 Ca 2.68-2.78, 2 Ru 2.82

***

Material: AlTc2Te
Method: DFT, PBE
State: optimized geometry

Output
symmetry = F-43m
total moment = 0.000 μB per atom
E above lowest polymorph = 409 meV/atom
uncorrected energy = -6.483 eV per atom
ΔE_f (raw) = 0.4214 eV/atom

a b c (Å): 6.4452 6.4452 6.4452
angles (deg): 90.00 90.00 90.00
Last column: nearest neighbours and their distance in Å.
Fractional positions:
Al 0.0000 0.0000 0.0000  4 Tc 2.79, 4 Te 2.79
Al 0.0000 0.5000 0.5000  4 Te 2.79, 4 Tc 2.79
Al 0.5000 0.0000 0.5000  4 Te 2.79, 4 Tc 2.79
Al 0.5000 0.5000 0.0000  4 Tc 2.79, 4 Te 2.79
Tc 0.0000 0.0000 0.5000  4 Tc 2.79, 4 Te 2.79
Tc 0.0000 0.5000 0.0000  4 Tc 2.79, 4 Te 2.79
Tc 0.2500 0.2500 0.2500  4 Tc 2.79, 4 Al 2.79
Tc 0.2500 0.7500 0.7500  4 Tc 2.79, 4 Al 2.79
Tc 0.5000 0.0000 0.0000  4 Tc 2.79, 4 Te 2.79
Tc 0.5000 0.5000 0.5000  4 Tc 2.79, 4 Te 2.79
Tc 0.7500 0.2500 0.7500  4 Tc 2.79, 4 Al 2.79
Tc 0.7500 0.7500 0.2500  4 Tc 2.79, 4 Al 2.79
Te 0.2500 0.2500 0.7500  4 Tc 2.79, 4 Al 2.79
Te 0.2500 0.7500 0.2500  4 Tc 2.79, 4 Al 2.79
Te 0.7500 0.2500 0.2500  4 Tc 2.79, 4 Al 2.79
Te 0.7500 0.7500 0.7500  4 Tc 2.79, 4 Al 2.79

***

Material: Be2AgTe
Method: DFT, PBE
State: optimized geometry

Output
symmetry = P4/mmm
total moment = 0.000 μB per atom
uncorrected energy = -2.713 eV per atom
ΔE_f (raw) = 0.6483 eV/atom

a b c (Å): 4.2767 4.2767 3.6112
angles (deg): 90.00 90.00 90.00
Last column: nearest neighbours and their distance in Å.
Fractional positions:
Be 0.0000 0.5000 0.0000  4 Te 2.80, 4 Ag 2.80, 4 Be 3.02
Be 0.5000 0.0000 0.0000  4 Te 2.80, 4 Ag 2.80, 4 Be 3.02
Ag 0.0000 0.0000 0.5000  8 Be 2.80, 4 Te 3.02
Te 0.5000 0.5000 0.5000  8 Be 2.80, 4 Ag 3.02

***

Material: Hf2FePt2
Method: DFT, PBE
State: optimized geometry

Output
symmetry = P4/mbm
total moment = 0.001 μB per atom
uncorrected energy = -8.601 eV per atom
energy of formation = -0.5103 eV/atom

a b c (Å): 7.1350 7.1350 3.5096
angles (deg): 90.00 90.00 90.00
Last column: nearest neighbours and their distance in Å.
Fractional positions:
Hf 0.1720 0.3280 0.0000  6 Pt 2.62-2.82
Hf 0.3280 0.8280 0.0000  6 Pt 2.62-2.82
Hf 0.6720 0.1720 0.0000  6 Pt 2.62-2.82
Hf 0.8280 0.6720 0.0000  6 Pt 2.62-2.82
Fe 0.0000 0.0000 0.5000  4 Pt 2.78
Fe 0.5000 0.5000 0.5000  4 Pt 2.78
Pt 0.1346 0.6346 0.5000  6 Hf 2.62-2.82, 1 Pt 2.72, 2 Fe 2.78
Pt 0.3654 0.1346 0.5000  6 Hf 2.62-2.82, 1 Pt 2.72, 2 Fe 2.78
Pt 0.6346 0.8654 0.5000  6 Hf 2.62-2.82, 1 Pt 2.72, 2 Fe 2.78
Pt 0.8654 0.3654 0.5000  6 Hf 2.62-2.82, 1 Pt 2.72, 2 Fe 2.78

***

Material: Ba4Zr3PbO12
Method: DFT, PBE
State: optimized geometry

Output
symmetry = Im-3m
total moment = 0.000 μB per atom
uncorrected energy = -7.664 eV per atom
ΔE_f (raw) = -2.8371 eV/atom

a b c (Å): 7.4050 7.4050 7.4050
angles (deg): 109.47 109.47 109.47
Last column: nearest neighbours and their distance in Å.
Fractional positions:
Ba 0.0000 0.0000 0.5000  12 O 3.02
Ba 0.0000 0.5000 0.0000  12 O 3.02
Ba 0.5000 0.0000 0.0000  12 O 3.02
Ba 0.5000 0.5000 0.5000  12 O 3.02
Zr 0.0000 0.5000 0.5000  6 O 2.10-2.14
Zr 0.5000 0.0000 0.5000  6 O 2.10-2.14
Zr 0.5000 0.5000 0.0000  6 O 2.10-2.14
Pb 0.0000 0.0000 0.0000  6 O 2.18
O 0.0000 0.2547 0.2547  1 Zr 2.10, 1 Pb 2.18
O 0.0000 0.7453 0.7453  1 Zr 2.10, 1 Pb 2.18
O 0.2500 0.5000 0.7500  2 Zr 2.14
O 0.2500 0.7500 0.5000  2 Zr 2.14
O 0.2547 0.0000 0.2547  1 Zr 2.10, 1 Pb 2.18
O 0.2547 0.2547 0.0000  1 Zr 2.10, 1 Pb 2.18
O 0.5000 0.2500 0.7500  2 Zr 2.14
O 0.5000 0.7500 0.2500  2 Zr 2.14
O 0.7453 0.0000 0.7453  1 Zr 2.10, 1 Pb 2.18
O 0.7453 0.7453 0.0000  1 Zr 2.10, 1 Pb 2.18
O 0.7500 0.2500 0.5000  2 Zr 2.14
O 0.7500 0.5000 0.2500  2 Zr 2.14

***

Material: La6Te3P2Se
Method: DFT, PBE
State: optimized geometry

Output
symmetry = C2/m
total moment = 0.000 μB per atom
uncorrected energy = -6.161 eV per atom
ΔE_f (raw) = -1.7194 eV/atom

a b c (Å): 9.9896 9.9896 8.9900
angles (deg): 104.82 104.82 25.31
Last column: nearest neighbours and their distance in Å.
Fractional positions:
La 0.0109 0.0109 0.2424  1 P 2.94, 2 Se 3.06, 2 Te 3.23
La 0.3249 0.3249 0.4359  3 P 2.97-2.99, 3 Te 3.31
La 0.3353 0.3353 0.8909  2 P 2.97, 1 Se 3.10, 3 Te 3.24-3.30
La 0.6647 0.6647 0.1091  2 P 2.97, 1 Se 3.10, 3 Te 3.24-3.30
La 0.6751 0.6751 0.5641  3 P 2.97-2.99, 3 Te 3.31
La 0.9891 0.9891 0.7576  1 P 2.94, 2 Se 3.06, 2 Te 3.23
Te 0.1639 0.1639 0.8332  6 La 3.24-3.31
Te 0.5000 0.5000 0.5000  6 La 3.23-3.31
Te 0.8361 0.8361 0.1668  6 La 3.24-3.31
P 0.1671 0.1671 0.3333  6 La 2.94-2.99
P 0.8329 0.8329 0.6667  6 La 2.94-2.99
Se 0.5000 0.5000 0.0000  6 La 3.06-3.10

***

Material: NaSr2AlAg
Method: DFT, PBE
State: optimized geometry

Output
symmetry = P4/mmm
total moment = 0.000 μB per atom
uncorrected energy = -2.264 eV per atom
energy of formation = -0.0089 eV/atom

a b c (Å): 6.1780 6.1780 4.9522
angles (deg): 90.00 90.00 90.00
Last column: nearest neighbours and their distance in Å.
Fractional positions:
Na 0.0000 0.0000 0.0000  8 Sr 3.96, 4 Al 4.37
Sr 0.0000 0.5000 0.5000  2 Ag 3.09
Sr 0.5000 0.0000 0.5000  2 Ag 3.09
Al 0.5000 0.5000 0.0000  2 Ag 2.48
Ag 0.5000 0.5000 0.5000  2 Al 2.48

***

Material: KLiSi
Method: DFT, PBE
State: optimized geometry

Output
symmetry = C2/m
total moment = 0.000 μB per atom
E above lowest polymorph = 96 meV/atom
uncorrected energy = -2.809 eV per atom
ΔE_f (raw) = 0.0025 eV/atom

a b c (Å): 12.3070 4.5837 5.6601
angles (deg): 90.00 99.49 90.00
Last column: nearest neighbours and their distance in Å.
Fractional positions:
K 0.2185 0.0000 0.2362  5 Si 3.39-3.61, 3 Li 3.54-3.62, 4 K 3.70-3.74
K 0.2815 0.5000 0.7638  5 Si 3.39-3.61, 3 Li 3.54-3.62, 4 K 3.70-3.74
K 0.7185 0.5000 0.2362  5 Si 3.39-3.61, 3 Li 3.54-3.62, 4 K 3.70-3.74
K 0.7815 0.0000 0.7638  5 Si 3.39-3.61, 3 Li 3.54-3.62, 4 K 3.70-3.74
Li 0.0000 0.5000 0.0000  2 Li 2.83, 4 Si 2.99
Li 0.0000 0.5000 0.5000  4 Si 2.58, 2 Li 2.83
Li 0.5000 0.0000 0.0000  2 Li 2.83, 4 Si 2.99
Li 0.5000 0.0000 0.5000  4 Si 2.58, 2 Li 2.83
Si 0.0514 0.0000 0.6968  1 Si 2.37, 2 Li 2.58
Si 0.4486 0.5000 0.3032  1 Si 2.37, 2 Li 2.58
Si 0.5514 0.5000 0.6968  1 Si 2.37, 2 Li 2.58
Si 0.9486 0.0000 0.3032  1 Si 2.37, 2 Li 2.58

***

Material: MgNbCu
Method: DFT, PBE
State: optimized geometry

Output
symmetry = P-1
total moment = 0.000 μB per atom
E above lowest polymorph = 60 meV/atom
uncorrected energy = -5.150 eV per atom
energy of formation = 0.1032 eV/atom

a b c (Å): 2.9459 5.1738 7.1287
angles (deg): 94.55 101.71 106.24
Last column: nearest neighbours and their distance in Å.
Fractional positions:
Mg 0.2478 0.3403 0.1584  5 Cu 2.67-2.77, 2 Mg 2.95
Mg 0.7522 0.6597 0.8416  5 Cu 2.67-2.77, 2 Mg 2.95
Nb 0.1026 0.7568 0.4620  5 Nb 2.68-2.95, 3 Cu 2.74-2.96
Nb 0.8974 0.2432 0.5380  5 Nb 2.68-2.95, 3 Cu 2.74-2.96
Cu 0.4780 0.1094 0.8413  1 Cu 2.60, 5 Mg 2.67-2.77, 2 Nb 2.74
Cu 0.5220 0.8906 0.1587  1 Cu 2.60, 5 Mg 2.67-2.77, 2 Nb 2.74

***

Material: Li2PuZnO6
Method: DFT, PBE
State: optimized geometry

Output
symmetry = P2_1/c
total moment = 0.013 μB per atom
uncorrected energy = -6.779 eV per atom
ΔE_f (raw) = -1.8609 eV/atom

a b c (Å): 5.3298 5.4173 9.3499
angles (deg): 90.00 124.69 90.00
Last column: nearest neighbours and their distance in Å.
Fractional positions:
Li 0.2472 0.0327 0.2603  4 O 2.04-2.23
Li 0.2472 0.4673 0.7603  4 O 2.04-2.23
Li 0.7528 0.5327 0.2397  4 O 2.04-2.23
Li 0.7528 0.9673 0.7397  4 O 2.04-2.23
Pu 0.0000 0.0000 0.5000  6 O 1.95-2.02
Pu 0.0000 0.5000 0.0000  6 O 1.95-2.02
Zn 0.5000 0.0000 0.0000  6 O 2.07-2.16
Zn 0.5000 0.5000 0.5000  6 O 2.07-2.16
O 0.1262 0.0688 0.7446  1 Pu 2.02, 2 Li 2.04-2.23, 1 Zn 2.10
O 0.1262 0.4312 0.2446  1 Pu 2.02, 2 Li 2.04-2.23, 1 Zn 2.10
O 0.2289 0.6922 0.5701  1 Pu 1.95, 1 Li 2.11, 1 Zn 2.16
O 0.2289 0.8078 0.0701  1 Pu 1.95, 1 Li 2.11, 1 Zn 2.16
O 0.3744 0.1728 0.5567  1 Pu 1.98, 1 Zn 2.07, 1 Li 2.08
O 0.3744 0.3272 0.0567  1 Pu 1.98, 1 Zn 2.07, 1 Li 2.08
O 0.6256 0.6728 0.9433  1 Pu 1.98, 1 Zn 2.07, 1 Li 2.08
O 0.6256 0.8272 0.4433  1 Pu 1.98, 1 Zn 2.07, 1 Li 2.08
O 0.7711 0.1922 0.9299  1 Pu 1.95, 1 Li 2.11, 1 Zn 2.16
O 0.7711 0.3078 0.4299  1 Pu 1.95, 1 Li 2.11, 1 Zn 2.16
O 0.8738 0.5688 0.7554  1 Pu 2.02, 2 Li 2.04-2.23, 1 Zn 2.10
O 0.8738 0.9312 0.2554  1 Pu 2.02, 2 Li 2.04-2.23, 1 Zn 2.10

***

Material: CsYTl2
Method: DFT, PBE
State: optimized geometry

Output
symmetry = Fm-3m
total moment = 0.000 μB per atom
E above lowest polymorph = 333 meV/atom
uncorrected energy = -2.867 eV per atom
energy of formation = 0.1455 eV/atom

a b c (Å): 8.3146 8.3146 8.3146
angles (deg): 90.00 90.00 90.00
Last column: nearest neighbours and their distance in Å.
Fractional positions:
Cs 0.0000 0.0000 0.0000  8 Tl 3.60
Cs 0.0000 0.5000 0.5000  8 Tl 3.60
Cs 0.5000 0.0000 0.5000  8 Tl 3.60
Cs 0.5000 0.5000 0.0000  8 Tl 3.60
Y 0.0000 0.0000 0.5000  8 Tl 3.60
Y 0.0000 0.5000 0.0000  8 Tl 3.60
Y 0.5000 0.0000 0.0000  8 Tl 3.60
Y 0.5000 0.5000 0.5000  8 Tl 3.60
Tl 0.2500 0.2500 0.2500  4 Y 3.60, 4 Cs 3.60
Tl 0.2500 0.2500 0.7500  4 Cs 3.60, 4 Y 3.60
Tl 0.2500 0.7500 0.2500  4 Cs 3.60, 4 Y 3.60
Tl 0.2500 0.7500 0.7500  4 Y 3.60, 4 Cs 3.60
Tl 0.7500 0.2500 0.2500  4 Cs 3.60, 4 Y 3.60
Tl 0.7500 0.2500 0.7500  4 Y 3.60, 4 Cs 3.60
Tl 0.7500 0.7500 0.2500  4 Y 3.60, 4 Cs 3.60
Tl 0.7500 0.7500 0.7500  4 Cs 3.60, 4 Y 3.60

***

Material: Mn2Au
Method: DFT, PBE
State: optimized geometry

Output
symmetry = C2/m
total moment = 2.363 μB per atom
uncorrected energy = -6.994 eV per atom
energy of formation = 0.2117 eV/atom

a b c (Å): 9.3134 2.8993 7.5998
angles (deg): 90.00 114.38 90.00
Last column: nearest neighbours and their distance in Å.
Fractional positions:
Mn 0.0055 0.0000 0.2526  7 Mn 2.67-2.96, 5 Au 2.72-2.89
Mn 0.1564 0.5000 0.0624  10 Mn 2.67-2.96, 2 Au 2.76
Mn 0.3436 0.0000 0.9376  10 Mn 2.67-2.96, 2 Au 2.76
Mn 0.4945 0.5000 0.7474  7 Mn 2.67-2.96, 5 Au 2.72-2.89
Mn 0.5055 0.5000 0.2526  7 Mn 2.67-2.96, 5 Au 2.72-2.89
Mn 0.6564 0.0000 0.0624  10 Mn 2.67-2.96, 2 Au 2.76
Mn 0.8436 0.5000 0.9376  10 Mn 2.67-2.96, 2 Au 2.76
Mn 0.9945 0.0000 0.7474  7 Mn 2.67-2.96, 5 Au 2.72-2.89
Au 0.1719 0.5000 0.6074  7 Mn 2.72-2.89, 5 Au 2.90-2.97
Au 0.3281 0.0000 0.3926  7 Mn 2.72-2.89, 5 Au 2.90-2.97
Au 0.6719 0.0000 0.6074  7 Mn 2.72-2.89, 5 Au 2.90-2.97
Au 0.8281 0.5000 0.3926  7 Mn 2.72-2.89, 5 Au 2.90-2.97

***

Material: LaPrAgCl
Method: DFT, PBE
State: optimized geometry

Output
symmetry = F-43m
total moment = 0.000 μB per atom
uncorrected energy = -4.225 eV per atom
ΔE_f (raw) = -0.6242 eV/atom

a b c (Å): 7.5125 7.5125 7.5125
angles (deg): 90.00 90.00 90.00
Last column: nearest neighbours and their distance in Å.
Fractional positions:
La 0.0000 0.0000 0.0000  4 Cl 3.25, 4 Ag 3.25
La 0.0000 0.5000 0.5000  4 Cl 3.25, 4 Ag 3.25
La 0.5000 0.0000 0.5000  4 Cl 3.25, 4 Ag 3.25
La 0.5000 0.5000 0.0000  4 Cl 3.25, 4 Ag 3.25
Pr 0.0000 0.0000 0.5000  4 Cl 3.25, 4 Ag 3.25
Pr 0.0000 0.5000 0.0000  4 Cl 3.25, 4 Ag 3.25
Pr 0.5000 0.0000 0.0000  4 Cl 3.25, 4 Ag 3.25
Pr 0.5000 0.5000 0.5000  4 Cl 3.25, 4 Ag 3.25
Ag 0.2500 0.2500 0.2500  4 La 3.25, 4 Pr 3.25
Ag 0.2500 0.7500 0.7500  4 La 3.25, 4 Pr 3.25
Ag 0.7500 0.2500 0.7500  4 La 3.25, 4 Pr 3.25
Ag 0.7500 0.7500 0.2500  4 La 3.25, 4 Pr 3.25
Cl 0.2500 0.2500 0.7500  4 La 3.25, 4 Pr 3.25
Cl 0.2500 0.7500 0.2500  4 La 3.25, 4 Pr 3.25
Cl 0.7500 0.2500 0.2500  4 La 3.25, 4 Pr 3.25
Cl 0.7500 0.7500 0.7500  4 La 3.25, 4 Pr 3.25

***

Material: LiPa3In4Te8
Method: DFT, PBE
State: optimized geometry

Output
symmetry = R-3m
total moment = 0.251 μB per atom
uncorrected energy = -4.731 eV per atom
ΔE_f (raw) = -0.5757 eV/atom

a b c (Å): 9.6665 9.6665 9.6665
angles (deg): 53.42 53.42 53.42
Last column: nearest neighbours and their distance in Å.
Fractional positions:
Li 0.0000 0.0000 0.0000  6 Te 3.10
Pa 0.0000 0.5000 0.5000  6 Te 3.08-3.12
Pa 0.5000 0.0000 0.5000  6 Te 3.08-3.12
Pa 0.5000 0.5000 0.0000  6 Te 3.08-3.12
In 0.0000 0.0000 0.5000  6 Te 3.39-3.43
In 0.0000 0.5000 0.0000  6 Te 3.39-3.43
In 0.5000 0.0000 0.0000  6 Te 3.39-3.43
In 0.5000 0.5000 0.5000  6 Te 3.41
Te 0.2404 0.2404 0.7376  2 Pa 3.08, 1 Li 3.10, 3 In 3.41-3.43
Te 0.2404 0.7376 0.2404  2 Pa 3.08, 1 Li 3.10, 3 In 3.41-3.43
Te 0.2586 0.2586 0.2586  3 Pa 3.12, 3 In 3.39
Te 0.2624 0.7596 0.7596  2 Pa 3.08, 1 Li 3.10, 3 In 3.41-3.43
Te 0.7376 0.2404 0.2404  2 Pa 3.08, 1 Li 3.10, 3 In 3.41-3.43
Te 0.7414 0.7414 0.7414  3 Pa 3.12, 3 In 3.39
Te 0.7596 0.2624 0.7596  2 Pa 3.08, 1 Li 3.10, 3 In 3.41-3.43
Te 0.7596 0.7596 0.2624  2 Pa 3.08, 1 Li 3.10, 3 In 3.41-3.43